1.
First-principles (GGA-PBE) data for Cs2AlGeS4 after structural relaxation, as listed in Alexandria.

The structure belongs to space group Fddd (No. 70, origin choice 2); the cell edges are 6.0706, 14.3553 and 24.9623 Å and the angles 90.00°, 90.00° and 90.00°. The distinct sites, in fractional coordinates, are Cs at (0.1250, 0.1250, 0.3025), Al at (0.1250, 0.1250, 0.1250), Ge at (0.1250, 0.1250, 0.6250) and S at (0.1070, 0.2856, 0.4245).

***

2.
First-principles (GGA-PBE) data for AcNd4Ho2 after structural relaxation, as listed in Alexandria.

Its formation energy is 0.236 eV/atom.

The structure belongs to space group C2/m (No. 12); the cell edges are 12.2277, 6.5438 and 6.4173 Å and the angles 90.00°, 98.76° and 90.00°. The distinct sites, in fractional coordinates, are Ac at (0.0000, 0.0000, 0.0000), Nd at (0.1613, 0.0000, 0.5084), Nd at (0.2500, 0.2500, 0.0000) and Ho at (0.0406, 0.5000, 0.2649).

***

3.
First-principles (GGA-PBE) data for CsBaGe2 after structural relaxation, as listed in Alexandria.

Its formation energy is 0.146 eV/atom.

The structure belongs to space group Fm-3m (No. 225); the cell edges are 8.3331, 8.3331 and 8.3331 Å and the angles 90.00°, 90.00° and 90.00°. The distinct sites, in fractional coordinates, are Cs at (0.0000, 0.0000, 0.0000), Ba at (0.0000, 0.0000, 0.5000) and Ge at (0.2500, 0.2500, 0.2500).

***

4.
First-principles (GGA-PBE) data for LiCaAcNi after structural relaxation, as listed in Alexandria.

Its formation energy is 0.015 eV/atom.

The structure belongs to space group F-43m (No. 216); the cell edges are 7.4167, 7.4167 and 7.4167 Å and the angles 90.00°, 90.00° and 90.00°. The distinct sites, in fractional coordinates, are Li at (0.0000, 0.0000, 0.0000), Ca at (0.2500, 0.2500, 0.2500), Ac at (0.2500, 0.2500, 0.7500) and Ni at (0.0000, 0.0000, 0.5000).

***

5.
First-principles (GGA-PBE) data for Ac2Mg12Pb7 after structural relaxation, as listed in Alexandria.

Its formation energy is -0.170 eV/atom.

The structure belongs to space group P-3 (No. 147); the cell edges are 11.8982, 11.8982 and 4.6889 Å and the angles 90.00°, 90.00° and 120.00°. The distinct sites, in fractional coordinates, are Ac at (0.3333, 0.6667, 0.2530), Mg at (0.0383, 0.4252, 0.7483), Mg at (0.1053, 0.2582, 0.2409), Pb at (0.0000, 0.0000, 0.5000) and Pb at (0.1334, 0.7106, 0.7512).

***

6.
First-principles (GGA-PBE) data for CePr4Sm after structural relaxation, as listed in Alexandria.

Its formation energy is 0.065 eV/atom.

The structure belongs to space group C2/m (No. 12); the cell edges are 6.3581, 11.0171 and 6.3554 Å and the angles 90.00°, 109.37° and 90.00°. The distinct sites, in fractional coordinates, are Ce at (0.0000, 0.0000, 0.0000), Pr at (0.0000, 0.1635, 0.5000), Pr at (0.0000, 0.3342, 0.0000) and Sm at (0.0000, 0.5000, 0.5000).

***

Number 1: final energy -4.2957 eV/atom. Number 2: final energy -4.3836 eV/atom. Number 3: final energy -2.8563 eV/atom. Number 4: final energy -3.4364 eV/atom. Number 5: final energy -2.7083 eV/atom. Number 6: final energy -4.8967 eV/atom.